[1]
This record from the Alexandria database describes a relaxed Tm3AlTl2 crystal. The functional is PBE.

## Properties
- Energy relative to the lowest polymorph listed for this composition: 11 kJ/mol of formula units
- Spin magnetization: 0.0 μB/f.u.
- ΔH_f (0 K): -301.8 meV per atom

a = 5.2819 Å, b = 15.8250 Å, c = 3.6235 Å
α = 90.00°, β = 90.00°, γ = 90.00°
Closest atoms and distances in Å follow each position.
Space group Cmmm (No. 65)
Symmetry-distinct sites (fractional):
Tm 0.0000 0.0000 0.0000 [2 per cell]  4 Al 3.20, 4 Tl 3.25
Tm 0.0000 0.3420 0.0000 [4 per cell]  2 Al 3.09, 6 Tl 3.21-3.26
Al 0.0000 0.5000 0.5000 [2 per cell]  8 Tm 3.09-3.20
Tl 0.0000 0.1703 0.5000 [4 per cell]  8 Tm 3.21-3.26

=====

[2]
This record from the Alexandria database describes a relaxed NaGd2Pu crystal. The functional is PBE.

## Properties
- Spin magnetization: 20.9 μB/f.u.
- ΔH_f (0 K): 249.4 meV per atom

a = 3.4917 Å, b = 3.4917 Å, c = 37.5135 Å
α = 90.00°, β = 90.00°, γ = 120.00°
Closest atoms and distances in Å follow each position.
Space group R-3m (No. 166, hexagonal axes)
Symmetry-distinct sites (fractional):
Na 0.0000 0.0000 0.0000 [3 per cell]  6 Na 3.49, 2 Gd 3.50
Gd 0.0000 0.0000 0.0932 [6 per cell]  3 Pu 3.42, 6 Gd 3.49, 1 Na 3.50
Pu 0.0000 0.0000 0.5000 [3 per cell]  6 Gd 3.42, 6 Pu 3.49

=====

[3]
This record from the Alexandria database describes a relaxed Sr2GaHg2Au4 crystal. The functional is PBE.

## Properties
- Spin magnetization: 0.0 μB/f.u.
- ΔH_f (0 K): -465.1 meV per atom

a = 6.8906 Å, b = 6.8906 Å, c = 9.3384 Å
α = 90.00°, β = 90.00°, γ = 90.00°
Closest atoms and distances in Å follow each position.
Space group I4/mmm (No. 139)
Symmetry-distinct sites (fractional):
Sr 0.0000 0.5000 0.2500 [4 per cell]  8 Au 3.38, 4 Hg 3.48
Ga 0.0000 0.0000 0.0000 [2 per cell]  4 Au 2.59, 2 Hg 2.79
Hg 0.0000 0.0000 0.2988 [4 per cell]  1 Ga 2.79, 4 Au 2.96
Au 0.2345 0.2345 0.5000 [8 per cell]  1 Ga 2.59

=====

[4]
This record from the Alexandria database describes a relaxed Sm5YHg3 crystal. The functional is PBE.

## Properties
- Spin magnetization: 0.0 μB/f.u.
- ΔH_f (0 K): -297.0 meV per atom

a = 9.2602 Å, b = 9.2602 Å, c = 7.0111 Å
α = 90.00°, β = 90.00°, γ = 120.00°
Closest atoms and distances in Å follow each position.
Space group P6_3/mcm (No. 193)
Symmetry-distinct sites (fractional):
Sm 0.0000 0.3359 0.2500 [6 per cell]  3 Hg 3.08-3.11
Sm 0.3333 0.6667 0.0000 [4 per cell]  8 Sm 3.51-3.54, 6 Hg 3.57
Y 0.0000 0.0000 0.0000 [2 per cell]  2 Y 3.51, 6 Hg 3.51, 6 Sm 3.57
Hg 0.0000 0.3283 0.7500 [6 per cell]  3 Sm 3.08-3.11

=====

[5]
This record from the Alexandria database describes a relaxed Al2ZnBN crystal. The functional is PBE.

## Properties
- Formation energy without anion corrections: 1.567 eV/atom
- Spin magnetization: 0.0 μB/f.u.

a = 4.9629 Å, b = 4.9629 Å, c = 3.4781 Å
α = 90.00°, β = 90.00°, γ = 90.00°
Closest atoms and distances in Å follow each position.
Space group P4/mmm (No. 123)
Symmetry-distinct sites (fractional):
Al 0.0000 0.5000 0.0000 [2 per cell]  2 Zn 2.48
Zn 0.0000 0.0000 0.0000 [1 per cell]  2 N 1.74
B 0.5000 0.5000 0.5000 [1 per cell]  8 Al 3.03
N 0.0000 0.0000 0.5000 [1 per cell]  2 Zn 1.74

=====

[6]
This record from the Alexandria database describes a relaxed CaFe3Os crystal. The functional is PBE.

## Properties
- Energy relative to the lowest polymorph listed for this composition: 0 kJ/mol of formula units
- Spin magnetization: 8.1 μB/f.u.
- ΔH_f (0 K): 911.8 meV per atom

a = 4.6664 Å, b = 4.6664 Å, c = 4.6664 Å
α = 90.00°, β = 90.00°, γ = 90.00°
Closest atoms and distances in Å follow each position.
Space group Pm-3m (No. 221)
Symmetry-distinct sites (fractional):
Ca 0.0000 0.0000 0.0000 [1 per cell]  12 Fe 3.30
Fe 0.0000 0.5000 0.5000 [3 per cell]  2 Os 2.33
Os 0.5000 0.5000 0.5000 [1 per cell]  6 Fe 2.33

=====

Look up the spin magnetization of the sixth one.
8.1 μB/f.u.

=====

Look up the spin magnetization of the sixth one.
8.1 μB/f.u.